# 1
{
  "formula": "Sr5Cd2Si2",
  "functional": "PBE-GGA",
  "state": "optimized geometry",
  "total_magnetization_mub_per_cell": 0.00,
  "formation_energy_uncorrected_ev_per_atom": -0.315,
  "total_energy_ev_per_atom": -2.658,
  "cell": [[8.988, -4.101, 0.000], [8.988, 4.101, 0.000], [0.000, 0.000, 8.213]],
  "species": ["Sr", "Sr", "Sr", "Sr", "Sr", "Sr", "Sr", "Sr", "Sr", "Sr", "Cd", "Cd", "Cd", "Cd", "Si", "Si", "Si", "Si"],
  "frac_coords": [[0.000, 0.000, 0.000], [0.054, 0.694, 0.679], [0.194, 0.554, 0.179], [0.306, 0.946, 0.679], [0.446, 0.806, 0.179], [0.500, 0.500, 0.500], [0.554, 0.194, 0.821], [0.694, 0.054, 0.321], [0.806, 0.446, 0.821], [0.946, 0.306, 0.321], [0.216, 0.216, 0.000], [0.284, 0.284, 0.500], [0.716, 0.716, 0.500], [0.784, 0.784, 0.000], [0.106, 0.894, 0.395], [0.394, 0.606, 0.895], [0.606, 0.394, 0.105], [0.894, 0.106, 0.605]]
}

=====

# 2
{
  "formula": "Sr2Cd3Si",
  "functional": "PBE-GGA",
  "state": "optimized geometry",
  "total_magnetization_mub_per_cell": 0.00,
  "formation_energy_uncorrected_ev_per_atom": -0.315,
  "total_energy_ev_per_atom": -2.237,
  "cell": [[0.000, 4.910, 8.448], [4.041, 0.000, 8.448], [4.041, 4.910, 0.000]],
  "species": ["Sr", "Sr", "Sr", "Sr", "Cd", "Cd", "Cd", "Cd", "Cd", "Cd", "Si", "Si"],
  "frac_coords": [[0.245, 0.755, 0.755], [0.250, 0.250, 0.250], [0.750, 0.750, 0.750], [0.755, 0.245, 0.245], [0.172, 0.172, 0.828], [0.174, 0.655, 0.345], [0.345, 0.826, 0.174], [0.655, 0.174, 0.826], [0.826, 0.345, 0.655], [0.828, 0.828, 0.172], [0.335, 0.335, 0.665], [0.665, 0.665, 0.335]]
}

=====

# 3
{
  "formula": "SrCdSi2",
  "functional": "PBE-GGA",
  "state": "optimized geometry",
  "total_magnetization_mub_per_cell": 0.00,
  "formation_energy_uncorrected_ev_per_atom": 0.021,
  "total_energy_ev_per_atom": -3.340,
  "cell": [[3.781, 0.000, 0.000], [0.000, 3.781, 0.000], [0.000, 0.000, 6.630]],
  "species": ["Sr", "Cd", "Si", "Si"],
  "frac_coords": [[0.000, 0.000, 0.000], [0.000, 0.000, 0.500], [0.500, 0.500, 0.321], [0.500, 0.500, 0.679]]
}